DFT (PBE with a Hubbard U) results for a relaxed CrMoBrO4 crystal.

```
CrMoBrO4
1.0
-3.885 0.298 4.221
-0.199 -5.208 2.416
3.699 -0.338 8.585
O Cr Br Mo
8 2 2 2
Direct
0.541 0.122 0.234
0.122 0.541 0.234
0.787 0.787 0.453
0.428 0.428 0.697
0.572 0.572 0.303
0.878 0.459 0.766
0.459 0.878 0.766
0.213 0.213 0.547
0.180 0.180 0.776
0.820 0.820 0.224
0.862 0.862 0.933
0.138 0.138 0.067
0.365 0.365 0.328
0.635 0.635 0.672
```

Calculated values
The value obtained for the magnetization is 3.00 μB/f.u. The density of states at the Fermi level is 0.0 states/eV/f.u. For the total energy, the calculation gives -93.21 eV for the cell shown.